1.
A plane-wave DFT calculation with PBE-GGA was carried out for a geometry-optimized YEr2Al3CuGe2 structure.

Unit cell a=4.161 b=6.978 c=6.978 alpha=120.05 beta=90.00 gamma=90.00
Fractional positions:
Al 0.500 0.232 0.232
Al 0.500 0.768 0.001
Al 0.500 0.001 0.768
Y 0.000 0.596 0.596
Er 0.000 0.000 0.403
Er 0.000 0.403 0.000
Ge 0.500 0.331 0.667
Ge 0.500 0.667 0.331
Cu 0.000 0.002 0.002

***

2.
A plane-wave DFT calculation with PBE-GGA was carried out for a geometry-optimized Er2HfAl3Cu2Ni structure.

Unit cell a=3.873 b=6.877 c=6.877 alpha=120.48 beta=90.00 gamma=90.00
Fractional positions:
Hf 0.000 0.594 0.594
Al 0.500 0.993 0.762
Al 0.500 0.242 0.242
Al 0.500 0.762 0.993
Ni 0.000 0.990 0.990
Cu 0.500 0.343 0.664
Cu 0.500 0.664 0.343
Er 0.000 0.001 0.412
Er 0.000 0.412 0.001

***

3.
A plane-wave DFT calculation with PBE-GGA was carried out for a geometry-optimized ErHf2Al3Cu2Ni structure.

Unit cell a=3.911 b=6.668 c=6.668 alpha=120.01 beta=90.00 gamma=90.00
Fractional positions:
Hf 0.000 0.595 0.003
Hf 0.000 0.003 0.595
Er 0.000 0.412 0.412
Al 0.500 0.762 0.762
Al 0.500 0.994 0.240
Al 0.500 0.240 0.994
Ni 0.000 0.989 0.989
Cu 0.500 0.331 0.673
Cu 0.500 0.673 0.331

***

4.
A plane-wave DFT calculation with PBE-GGA was carried out for a geometry-optimized HoEr2Al7Cu2 structure.

Unit cell a=9.020 b=9.020 c=9.020 alpha=35.25 beta=35.25 gamma=35.25
Fractional positions:
Cu 0.665 0.665 0.665
Cu 0.335 0.335 0.335
Er 0.858 0.858 0.858
Er 0.142 0.142 0.142
Al 0.582 0.582 0.073
Al 0.418 0.418 0.927
Al 0.500 0.500 0.500
Al 0.582 0.073 0.582
Al 0.418 0.927 0.418
Al 0.073 0.582 0.582
Al 0.927 0.418 0.418
Ho 0.000 0.000 0.000

***

5.
A plane-wave DFT calculation with PBE-GGA was carried out for a geometry-optimized Ho2ErAl7Cu2 structure.

Unit cell a=9.020 b=9.020 c=9.020 alpha=35.28 beta=35.28 gamma=35.28
Fractional positions:
Al 0.418 0.927 0.418
Al 0.927 0.418 0.418
Al 0.500 0.500 0.500
Al 0.418 0.418 0.927
Al 0.073 0.582 0.582
Al 0.582 0.073 0.582
Al 0.582 0.582 0.073
Ho 0.142 0.142 0.142
Ho 0.858 0.858 0.858
Cu 0.665 0.665 0.665
Cu 0.335 0.335 0.335
Er 0.000 0.000 0.000

***

6.
A plane-wave DFT calculation with PBE-GGA was carried out for a geometry-optimized Ho2ErAl3Cu2Ni structure.

Unit cell a=3.948 b=6.996 c=6.996 alpha=120.03 beta=90.00 gamma=90.00
Fractional positions:
Er 0.000 0.412 0.412
Cu 0.500 0.666 0.334
Cu 0.500 0.334 0.666
Al 0.500 0.232 0.001
Al 0.500 0.001 0.232
Al 0.500 0.767 0.767
Ni 0.000 0.001 0.001
Ho 0.000 0.000 0.588
Ho 0.000 0.588 0.000

***

7.
A plane-wave DFT calculation with PBE-GGA was carried out for a geometry-optimized HoEr2Al3Cu2Ni structure.

Unit cell a=3.923 b=7.006 c=7.006 alpha=119.98 beta=90.00 gamma=90.00
Fractional positions:
Ni 0.000 0.000 0.000
Cu 0.500 0.667 0.333
Cu 0.500 0.333 0.667
Al 0.500 0.233 0.000
Al 0.500 0.767 0.767
Al 0.500 0.000 0.233
Ho 0.000 0.413 0.413
Er 0.000 0.588 0.000
Er 0.000 0.000 0.588

***

8.
A plane-wave DFT calculation with PBE-GGA was carried out for a geometry-optimized HoEr2Al3Cu2Pd structure.

Unit cell a=4.007 b=7.048 c=7.048 alpha=119.98 beta=90.00 gamma=90.00
Fractional positions:
Cu 0.500 0.333 0.667
Cu 0.500 0.667 0.333
Al 0.500 0.241 0.000
Al 0.500 0.000 0.241
Al 0.500 0.759 0.759
Ho 0.000 0.418 0.418
Pd 0.000 0.999 0.999
Er 0.000 0.582 0.000
Er 0.000 0.000 0.582

***

9.
A plane-wave DFT calculation with PBE-GGA was carried out for a geometry-optimized Ho2ErAl3CuSi2 structure.

Unit cell a=4.150 b=6.880 c=6.880 alpha=119.97 beta=90.00 gamma=90.00
Fractional positions:
Al 0.500 0.762 0.762
Al 0.500 0.000 0.238
Al 0.500 0.238 0.000
Ho 0.000 0.000 0.593
Ho 0.000 0.593 0.000
Er 0.000 0.406 0.406
Si 0.500 0.666 0.334
Si 0.500 0.334 0.666
Cu 0.000 0.001 0.001

***

10.
A plane-wave DFT calculation with PBE-GGA was carried out for a geometry-optimized LaEr2Al7Cu2 structure.

Unit cell a=9.114 b=9.114 c=9.114 alpha=35.18 beta=35.18 gamma=35.18
Fractional positions:
Al 0.500 0.500 0.500
Al 0.926 0.416 0.416
Al 0.416 0.926 0.416
Al 0.074 0.584 0.584
Al 0.584 0.584 0.074
Al 0.416 0.416 0.926
Al 0.584 0.074 0.584
Er 0.142 0.142 0.142
Er 0.858 0.858 0.858
Cu 0.665 0.665 0.665
Cu 0.335 0.335 0.335
La 0.000 0.000 0.000

***

11.
A plane-wave DFT calculation with PBE-GGA was carried out for a geometry-optimized La2ErAl7Cu2 structure.

Unit cell a=9.235 b=9.235 c=9.235 alpha=35.18 beta=35.18 gamma=35.18
Fractional positions:
Al 0.930 0.422 0.422
Al 0.578 0.578 0.070
Al 0.070 0.578 0.578
Al 0.578 0.070 0.578
Al 0.422 0.930 0.422
Al 0.500 0.500 0.500
Al 0.422 0.422 0.930
La 0.142 0.142 0.142
La 0.858 0.858 0.858
Cu 0.665 0.665 0.665
Cu 0.335 0.335 0.335
Er 0.000 0.000 0.000

***

12.
A plane-wave DFT calculation with PBE-GGA was carried out for a geometry-optimized Er2LuAl3CuNi2 structure.

Unit cell a=3.745 b=7.043 c=7.043 alpha=119.97 beta=90.00 gamma=90.00
Fractional positions:
Al 0.500 0.248 0.248
Al 0.500 0.998 0.753
Al 0.500 0.753 0.998
Lu 0.000 0.584 0.584
Er 0.000 0.417 0.000
Er 0.000 0.000 0.417
Ni 0.500 0.665 0.336
Ni 0.500 0.336 0.665
Cu 0.000 0.999 0.999

***

13.
A plane-wave DFT calculation with PBE-GGA was carried out for a geometry-optimized Nd2ErAl7Cu2 structure.

Unit cell a=9.148 b=9.148 c=9.148 alpha=35.32 beta=35.32 gamma=35.32
Fractional positions:
Nd 0.141 0.141 0.141
Nd 0.859 0.859 0.859
Al 0.420 0.420 0.928
Al 0.580 0.580 0.072
Al 0.580 0.072 0.580
Al 0.420 0.928 0.420
Al 0.072 0.580 0.580
Al 0.500 0.500 0.500
Al 0.928 0.420 0.420
Cu 0.665 0.665 0.665
Cu 0.335 0.335 0.335
Er 0.000 0.000 0.000

***

14.
A plane-wave DFT calculation with PBE-GGA was carried out for a geometry-optimized NdEr2Al7Cu2 structure.

Unit cell a=9.084 b=9.084 c=9.084 alpha=35.25 beta=35.25 gamma=35.25
Fractional positions:
Al 0.927 0.417 0.417
Al 0.417 0.927 0.417
Al 0.073 0.583 0.583
Al 0.500 0.500 0.500
Al 0.583 0.583 0.073
Al 0.417 0.417 0.927
Al 0.583 0.073 0.583
Cu 0.665 0.665 0.665
Cu 0.335 0.335 0.335
Nd 0.000 0.000 0.000
Er 0.858 0.858 0.858
Er 0.142 0.142 0.142

***

15.
A plane-wave DFT calculation with PBE-GGA was carried out for a geometry-optimized Nd2ErAl3Cu2Ni structure.

Unit cell a=4.051 b=7.090 c=7.090 alpha=120.82 beta=90.00 gamma=90.00
Fractional positions:
Al 0.500 0.771 0.995
Al 0.500 0.229 0.229
Al 0.500 0.995 0.771
Cu 0.500 0.345 0.663
Cu 0.500 0.663 0.345
Nd 0.000 0.001 0.414
Nd 0.000 0.414 0.001
Ni 0.000 0.992 0.992
Er 0.000 0.590 0.590

***

16.
A plane-wave DFT calculation with PBE-GGA was carried out for a geometry-optimized NdEr2Al3Cu2Ni structure.

Unit cell a=4.026 b=6.992 c=6.992 alpha=119.45 beta=90.00 gamma=90.00
Fractional positions:
Cu 0.500 0.670 0.324
Cu 0.500 0.324 0.670
Al 0.500 0.004 0.772
Al 0.500 0.772 0.004
Al 0.500 0.227 0.227
Nd 0.000 0.586 0.586
Er 0.000 0.998 0.410
Er 0.000 0.410 0.998
Ni 0.000 0.008 0.008

***

17.
A plane-wave DFT calculation with PBE-GGA was carried out for a geometry-optimized Er3Al3CuNi2 structure.

Unit cell a=6.911 b=6.911 c=3.931 alpha=90.00 beta=90.00 gamma=120.00
Fractional positions:
Er 0.581 0.581 0.500
Er 0.419 0.000 0.500
Er 0.000 0.419 0.500
Al 0.759 0.000 0.000
Al 0.241 0.241 0.000
Al 0.000 0.759 0.000
Cu 0.000 0.000 0.500
Ni 0.667 0.333 0.000
Ni 0.333 0.667 0.000

***

18.
A plane-wave DFT calculation with PBE-GGA was carried out for a geometry-optimized Er2Al4CuNi structure.

Unit cell a=6.760 b=5.426 c=5.426 alpha=44.91 beta=90.00 gamma=90.00
Fractional positions:
Ni 0.500 0.789 0.789
Al 0.306 0.353 0.353
Al 0.799 0.648 0.648
Al 0.694 0.353 0.353
Al 0.201 0.648 0.648
Er 0.500 0.066 0.066
Er 0.000 0.932 0.932
Cu 0.000 0.212 0.212

***

19.
A plane-wave DFT calculation with PBE-GGA was carried out for a geometry-optimized ErSc2Al3Cu2Ni structure.

Unit cell a=3.817 b=6.820 c=6.820 alpha=119.88 beta=90.00 gamma=90.00
Fractional positions:
Ni 0.000 0.006 0.006
Al 0.500 0.005 0.762
Al 0.500 0.762 0.005
Al 0.500 0.236 0.236
Sc 0.000 0.999 0.408
Sc 0.000 0.408 0.999
Er 0.000 0.588 0.588
Cu 0.500 0.328 0.669
Cu 0.500 0.669 0.328

***

20.
A plane-wave DFT calculation with PBE-GGA was carried out for a geometry-optimized Er2ScAl3Cu2Ni structure.

Unit cell a=3.877 b=6.905 c=6.905 alpha=120.40 beta=90.00 gamma=90.00
Fractional positions:
Er 0.000 0.414 0.001
Er 0.000 0.001 0.414
Ni 0.000 0.994 0.994
Al 0.500 0.241 0.241
Al 0.500 0.993 0.762
Al 0.500 0.762 0.993
Sc 0.000 0.591 0.591
Cu 0.500 0.339 0.664
Cu 0.500 0.664 0.339

***

21.
A plane-wave DFT calculation with PBE-GGA was carried out for a geometry-optimized TbEr2Al3CuNi2 structure.

Unit cell a=3.941 b=6.922 c=6.922 alpha=119.97 beta=90.00 gamma=90.00
Fractional positions:
Al 0.500 0.239 0.239
Al 0.500 0.001 0.760
Al 0.500 0.760 0.001
Ni 0.500 0.331 0.668
Ni 0.500 0.668 0.331
Er 0.000 0.418 0.999
Er 0.000 0.999 0.418
Tb 0.000 0.582 0.582
Cu 0.000 0.002 0.002

***

22.
A plane-wave DFT calculation with PBE-GGA was carried out for a geometry-optimized ErTm2Al3CuNi2 structure.

Unit cell a=3.758 b=7.048 c=7.048 alpha=120.01 beta=90.00 gamma=90.00
Fractional positions:
Al 0.500 0.999 0.246
Al 0.500 0.754 0.754
Al 0.500 0.246 0.999
Ni 0.500 0.333 0.667
Ni 0.500 0.667 0.333
Tm 0.000 0.583 0.000
Tm 0.000 0.000 0.583
Er 0.000 0.417 0.417
Cu 0.000 0.000 0.000

***

23.
A plane-wave DFT calculation with PBE-GGA was carried out for a geometry-optimized Er2TmAl3CuNi2 structure.

Unit cell a=3.779 b=7.047 c=7.047 alpha=119.99 beta=90.00 gamma=90.00
Fractional positions:
Er 0.000 0.417 0.000
Er 0.000 0.000 0.417
Al 0.500 0.246 0.246
Al 0.500 0.999 0.754
Al 0.500 0.754 0.999
Ni 0.500 0.666 0.334
Ni 0.500 0.334 0.666
Tm 0.000 0.583 0.583
Cu 0.000 0.000 0.000

***

Number 1: E_tot -45.7 eV for the cell shown. Number 2: E_tot -47.7 eV for the cell shown. Number 3: E_tot -53.0 eV for the cell shown. Number 4: E_tot -53.1 eV for the cell shown. Number 5: E_tot -53.1 eV for the cell shown. Number 6: E_tot -42.6 eV for the cell shown. Number 7: E_tot -42.6 eV for the cell shown. Number 8: E_tot -42.9 eV for the cell shown. Number 9: E_tot -45.2 eV for the cell shown. Number 10: E_tot -53.7 eV for the cell shown. Number 11: E_tot -53.4 eV for the cell shown. Number 12: E_tot -44.8 eV for the cell shown. Number 13: E_tot -53.3 eV for the cell shown. Number 14: E_tot -53.5 eV for the cell shown. Number 15: E_tot -42.4 eV for the cell shown. Number 16: E_tot -42.5 eV for the cell shown. Number 17: E_tot -44.9 eV for the cell shown. Number 18: E_tot -37.8 eV for the cell shown. Number 19: E_tot -46.1 eV for the cell shown. Number 20: E_tot -44.3 eV for the cell shown. Number 21: E_tot -44.9 eV for the cell shown. Number 22: E_tot -44.7 eV for the cell shown. Number 23: E_tot -44.8 eV for the cell shown.